# 1
Here is a relaxed HfZrScN2 crystal from Alexandria. Energies are from GGA-PBE.

Properties
- theoretical density (g cm⁻³) = 6.31
- electronic total energy (eV per cell) = -35.968
- spin magnetization (μB/f.u.) = 0.49
- raw formation energy (eV per formula unit) = 5.5

a = 4.1852 Å, b = 4.1852 Å, c = 5.1521 Å
α = 90.00°, β = 90.00°, γ = 90.00°
Space group P4/mmm (No. 123)
Symmetry-distinct sites (fractional):
Hf1 0.0000 0.0000 0.0000
Zr1 0.5000 0.5000 0.0000
Sc1 0.5000 0.5000 0.5000
N1 0.0000 0.5000 0.5000



# 2
Here is a relaxed HfZr3Sc4N8 crystal from Alexandria. Energies are from GGA-PBE.

Properties
- theoretical density (g cm⁻³) = 6.53
- electronic total energy (eV per cell) = -471.627
- spin magnetization (μB/f.u.) = 0.00
- raw formation energy (eV per formula unit) = -29.7

a = 6.4391 Å, b = 6.4391 Å, c = 15.8108 Å
α = 90.00°, β = 90.00°, γ = 120.00°
Space group R-3m (No. 166, hexagonal axes)
Symmetry-distinct sites (fractional):
Hf1 0.0000 0.0000 0.0000
Zr1 0.0000 0.5000 0.0000
Sc1 0.0000 0.0000 0.5000
Sc2 0.0000 0.5000 0.5000
N1 0.0000 0.0000 0.2491
N2 0.0042 0.5021 0.7498



# 3
Here is a relaxed Hf2ZrScN4 crystal from Alexandria. Energies are from GGA-PBE.

Properties
- theoretical density (g cm⁻³) = 9.67
- electronic total energy (eV per cell) = -82.686
- spin magnetization (μB/f.u.) = 0.00
- raw formation energy (eV per formula unit) = -14.6

a = 5.5732 Å, b = 3.2123 Å, c = 5.5826 Å
α = 90.00°, β = 109.27°, γ = 90.00°
Space group P2/m (No. 10)
Symmetry-distinct sites (fractional):
Hf1 0.0000 0.0000 0.0000
Hf2 0.0000 0.5000 0.5000
Zr1 0.5000 0.0000 0.5000
Sc1 0.5000 0.5000 0.0000
N1 0.2413 0.5000 0.2431
N2 0.2425 0.0000 0.7506



# 4
Here is a relaxed Hf2ZrScN crystal from Alexandria. Energies are from GGA-PBE.

Properties
- theoretical density (g cm⁻³) = 9.00
- electronic total energy (eV per cell) = -46.592
- spin magnetization (μB/f.u.) = 0.00
- raw formation energy (eV per formula unit) = -3.5

a = 4.4774 Å, b = 4.4774 Å, c = 4.6665 Å
α = 90.00°, β = 90.00°, γ = 90.00°
Space group P4/mmm (No. 123)
Symmetry-distinct sites (fractional):
Hf1 0.0000 0.5000 0.0000
Zr1 0.0000 0.0000 0.5000
Sc1 0.5000 0.5000 0.5000
N1 0.0000 0.0000 0.0000